# 1
A plane-wave DFT calculation with GGA-PBE was carried out for a relaxed Hf5Ga2Pb2 crystal.

extended XYZ file:
```
18
Lattice="6.9608 0.0000 2.5267 0.0000 7.3642 0.0000 1.0221 0.0000 8.0356" Properties=species:S:1:pos:R:3 pbc="T T T"
Hf 3.4804 3.6821 1.2634
Pb 5.9072 0.0000 5.4293
Hf 7.4001 2.4132 8.5006
Pb 5.5561 3.6821 6.3965
Hf 0.5828 4.9511 2.0618
Hf 3.9197 1.2690 7.2373
Hf 2.7918 4.9511 6.8278
Ga 4.3819 0.9414 1.5906
Ga 6.0594 4.6236 2.1995
Hf 5.1912 2.4132 3.7346
Pb 2.4268 3.6821 4.1659
Pb 2.0757 0.0000 5.1331
Hf 4.0632 6.0953 3.3251
Hf 6.2722 6.0953 8.0912
Ga 0.9015 2.7407 0.3272
Ga 2.5789 6.4228 0.9361
Hf 1.7108 1.2690 2.4712
Hf 0.0000 0.0000 0.0000
```

Output
Energy of formation (meV/atom): -246
DOS at the Fermi energy (states/eV/atom): 0.7184

---

# 2
A plane-wave DFT calculation with GGA-PBE was carried out for a relaxed Ca2Zn15Pd2 crystal.

extended XYZ file:
```
19
Lattice="-5.8594 0.8368 3.4031 -4.1571 -0.7883 -5.3583 -1.3132 -6.6287 0.9743" Properties=species:S:1:pos:R:3 pbc="T T T"
Zn -2.1339 -4.9432 -0.8532
Zn -4.4560 -4.6930 -2.3272
Zn -2.6252 -4.4742 1.6753
Ca -3.8414 -2.2311 -0.3326
Zn -5.3681 0.3678 0.8746
Zn -6.8737 -1.8872 1.3463
Zn -6.7131 -0.9866 -1.1213
Zn -4.5474 -1.3177 2.7022
Ca -7.4883 -4.3492 -0.6483
Zn -2.0785 -0.3941 -2.6791
Zn -2.9297 0.4184 1.7016
Zn -6.0285 -2.6940 -3.0035
Zn -3.3363 -2.4738 -3.5307
Zn -4.6166 -5.5937 0.1405
Zn -5.3011 -3.8862 2.0226
Zn -4.6484 -0.3193 -2.8298
Zn -0.6566 -3.3144 0.4872
Pd -10.0953 -5.8633 -0.8740
Pd -1.2344 -0.7169 -0.1069
```

Output
Energy of formation (meV/atom): -271
DOS at the Fermi energy (states/eV/atom): 0.3237

---

# 3
A plane-wave DFT calculation with GGA-PBE was carried out for a relaxed LaErZn2Ge2 crystal.

extended XYZ file:
```
6
Lattice="4.2285 0.0000 0.0000 -2.1142 3.6620 0.0000 0.0000 0.0000 8.3720" Properties=species:S:1:pos:R:3 pbc="T T T"
Zn 0.0000 2.4413 6.1725
La 0.0000 0.0000 0.0000
Ge 2.1142 1.2207 6.1390
Er 0.0000 0.0000 4.1860
Ge 0.0000 2.4413 2.2330
Zn 2.1142 1.2207 2.1995
```

Output
Energy of formation (meV/atom): -647
DOS at the Fermi energy (states/eV/atom): 0.6177

---

# 4
A plane-wave DFT calculation with GGA-PBE was carried out for a relaxed Cu2TeI crystal.

extended XYZ file:
```
8
Lattice="4.3040 0.0000 0.0000 0.0000 7.1561 0.0011 0.0000 -2.2180 6.9245" Properties=species:S:1:pos:R:3 pbc="T T T"
I 1.0760 1.7095 0.3151
Cu 3.2280 5.1018 2.1805
Cu 3.2280 3.0334 3.9754
Cu 1.0760 -0.1638 4.7451
Te 3.2280 0.4278 3.4122
Cu 1.0760 1.9047 2.9502
Te 1.0760 4.5102 3.5134
I 3.2280 3.2285 6.6105
```

Output
Energy above the lowest structure with this stoichiometry (eV per atom): 0.102
Energy relative to the elements, uncorrected (eV/atom): 0.023
DOS at the Fermi energy (states/eV/atom): 0.7131

---

# 5
A plane-wave DFT calculation with GGA-PBE was carried out for a relaxed SrYCo2 crystal.

extended XYZ file:
```
4
Lattice="4.9414 -0.0157 0.0000 0.0126 4.9414 0.0000 0.0000 0.0000 3.4520" Properties=species:S:1:pos:R:3 pbc="T T T"
Y 0.0063 2.4707 1.7260
Sr 2.4707 -0.0079 1.7260
Co 0.0000 0.0000 0.0000
Co 2.4770 2.4629 0.0000
```

Output
Energy of formation (meV/atom): 368
Energy above the lowest structure with this stoichiometry (eV per atom): 0.395
DOS at the Fermi energy (states/eV/atom): 2.1569